VASP calculation (GGA-PBE) on a geometry-optimized Ba6GeH2 structure.

Computed properties:
Space-group type   C2/m (12)
Calculated total energy   -2.796 eV per atom
Density of states at the Fermi level   6.980 states/eV per cell

a = 7.9671 Å, b = 7.9671 Å, c = 12.4569 Å
α = 113.84°, β = 113.84°, γ = 35.01°
Fractional positions:
Ba1 0.0145 0.0145 0.2456
Ba2 0.3260 0.3260 0.8947
Ba3 0.3381 0.3381 0.4125
Ba4 0.6619 0.6619 0.5875
Ba5 0.6740 0.6740 0.1053
Ba6 0.9855 0.9855 0.7544
Ge1 0.0000 0.0000 0.5000
H1 0.1759 0.1759 0.2066
H2 0.8241 0.8241 0.7934